# 1
TaNb6Rh5 | Alexandria | GGA-PBE | relaxed; total moment = 0.00 μB per cell; energy of formation = -0.28 eV/atom; E_tot = -9.370 eV/atom
1.0
4.939 0.000 0.000
0.000 5.685 0.000
-0.027 0.000 7.046
Ta Nb Rh
1 6 5
direct
0.000 0.000 0.000
0.189 0.251 0.653
0.189 0.749 0.653
0.500 0.255 0.000
0.500 0.745 0.000
0.811 0.251 0.347
0.811 0.749 0.347
0.000 0.500 0.000
0.317 0.000 0.328
0.321 0.500 0.328
0.679 0.500 0.672
0.683 0.000 0.672


# 2
Ta3Nb4Rh2 | Alexandria | GGA-PBE | relaxed; total moment = 0.00 μB per cell; energy of formation = -0.08 eV/atom; E_tot = -10.140 eV/atom
1.0
4.131 -4.758 0.000
4.131 4.758 0.000
-1.268 0.000 8.064
Ta Nb Rh
6 8 4
direct
0.112 0.888 0.750
0.204 0.457 0.241
0.457 0.204 0.741
0.543 0.796 0.259
0.796 0.543 0.759
0.888 0.112 0.250
0.088 0.332 0.573
0.320 0.573 0.915
0.332 0.088 0.073
0.427 0.680 0.585
0.573 0.320 0.415
0.668 0.912 0.927
0.680 0.427 0.085
0.912 0.668 0.427
0.010 0.756 0.094
0.244 0.990 0.406
0.756 0.010 0.594
0.990 0.244 0.906


# 3
TaNb6Rh | Alexandria | GGA-PBE | relaxed; total moment = 0.00 μB per cell; energy of formation = -0.19 eV/atom; E above lowest polymorph = 0.0000 eV per atom; E_tot = -10.139 eV/atom
1.0
3.305 0.000 0.000
0.000 4.638 4.622
0.000 -4.638 4.622
Ta Nb Rh
1 6 1
direct
0.000 0.000 0.000
0.000 0.003 0.504
0.000 0.504 0.003
0.000 0.505 0.505
0.500 0.252 0.252
0.500 0.255 0.752
0.500 0.752 0.255
0.500 0.756 0.756


# 4
Ta2Nb7Rh | Alexandria | GGA-PBE | relaxed; total moment = 0.00 μB per cell; energy of formation = 1.38 eV/atom; E_tot = -8.776 eV/atom
1.0
0.000 4.795 4.795
4.795 0.000 4.795
4.795 4.795 0.000
Ta Nb Rh
2 7 1
direct
0.250 0.250 0.250
0.750 0.750 0.750
0.000 0.000 0.000
0.252 0.252 0.748
0.252 0.748 0.252
0.252 0.748 0.748
0.748 0.252 0.252
0.748 0.252 0.748
0.748 0.748 0.252
0.500 0.500 0.500


# 5
Ta6Nb12Rh | Alexandria | GGA-PBE | relaxed; total moment = 0.00 μB per cell; energy of formation = 0.09 eV/atom; E_tot = -10.399 eV/atom
1.0
4.980 2.875 4.166
-4.980 2.875 4.166
0.000 -5.750 4.166
Ta Nb Rh
6 12 1
direct
0.232 0.757 0.385
0.243 0.615 0.768
0.385 0.232 0.757
0.615 0.768 0.243
0.757 0.385 0.232
0.768 0.243 0.615
0.021 0.312 0.922
0.078 0.979 0.688
0.118 0.356 0.436
0.312 0.922 0.021
0.356 0.436 0.118
0.436 0.118 0.356
0.564 0.882 0.644
0.644 0.564 0.882
0.688 0.078 0.979
0.882 0.644 0.564
0.922 0.021 0.312
0.979 0.688 0.078
0.500 0.500 0.500


# 6
TaNb6Rh2 | Alexandria | GGA-PBE | relaxed; total moment = 0.00 μB per cell; energy of formation = -0.22 eV/atom; E_tot = -9.882 eV/atom
1.0
5.100 -1.672 0.000
5.100 1.672 0.000
-3.130 0.000 9.153
Ta Nb Rh
1 6 2
direct
0.000 0.000 0.000
0.003 0.003 0.669
0.332 0.332 0.110
0.333 0.333 0.445
0.667 0.667 0.555
0.668 0.668 0.890
0.997 0.997 0.331
0.337 0.337 0.781
0.663 0.663 0.219